(1)
TiRu2W | PBE | optimized geometry

Cell lengths 6.9175, 6.9175, 5.4827 Å; angles 90.00, 90.00, 90.00 degrees
Space group I-42d (No. 122)
Unique sites:
Ti 0.0000 0.0000 0.0000 [4 per cell]
Ru 0.2358 0.2500 0.6250 [8 per cell]
W 0.0000 0.0000 0.5000 [4 per cell]

- Formation energy: 413 meV/atom
- VASP energy: -9.4365 eV/atom
- Crystal system: tetragonal

***

(2)
Ti3RuW | PBE | optimized geometry

Cell lengths 4.5825, 4.5825, 4.5825 Å; angles 90.00, 90.00, 90.00 degrees
Space group Pm-3m (No. 221)
Unique sites:
Ti 0.0000 0.0000 0.5000 [3 per cell]
Ru 0.0000 0.0000 0.0000 [1 per cell]
W 0.5000 0.5000 0.5000 [1 per cell]

- Formation energy: 878 meV/atom
- VASP energy: -8.3046 eV/atom
- Energy above the most stable polymorph in this dataset: 0 meV/atom
- Crystal system: cubic

***

(3)
TiRu2W2 | PBE | optimized geometry

Cell lengths 7.4681, 7.4681, 2.8810 Å; angles 90.00, 90.00, 90.00 degrees
Space group P4/mbm (No. 127)
Unique sites:
Ti 0.0000 0.0000 0.0000 [2 per cell]
Ru 0.1331 0.3669 0.0000 [4 per cell]
W 0.1648 0.6648 0.5000 [4 per cell]

- Formation energy: 120 meV/atom
- VASP energy: -10.3503 eV/atom
- Energy above the most stable polymorph in this dataset: 0 meV/atom
- Crystal system: tetragonal

***

(4)
TiRu2W | PBE | optimized geometry

Cell lengths 2.9813, 2.9813, 6.6647 Å; angles 90.00, 90.00, 90.00 degrees
Space group P4/mmm (No. 123)
Unique sites:
Ti 0.0000 0.0000 0.0000 [1 per cell]
Ru 0.5000 0.5000 0.2328 [2 per cell]
W 0.0000 0.0000 0.5000 [1 per cell]

- Formation energy: -287 meV/atom
- VASP energy: -10.1371 eV/atom
- Crystal system: tetragonal

***

(5)
TiRuW | PBE | optimized geometry

Cell lengths 3.0997, 3.0997, 9.5147 Å; angles 90.00, 90.00, 90.00 degrees
Space group I4mm (No. 107)
Unique sites:
Ti 0.0000 0.0000 0.0000 [2 per cell]
Ru 0.0000 0.0000 0.3353 [2 per cell]
W 0.0000 0.0000 0.6685 [2 per cell]

- Formation energy: -244 meV/atom
- VASP energy: -10.2858 eV/atom
- Crystal system: tetragonal

***

(6)
TiRu2W2 | PBE | optimized geometry

Cell lengths 7.5445, 7.5445, 2.8401 Å; angles 90.00, 90.00, 90.00 degrees
Space group P4/mbm (No. 127)
Unique sites:
Ti 0.0000 0.0000 0.0000 [2 per cell]
Ru 0.1445 0.3555 0.5000 [4 per cell]
W 0.1524 0.6524 0.0000 [4 per cell]

- Formation energy: 135 meV/atom
- VASP energy: -10.3355 eV/atom
- Energy above the most stable polymorph in this dataset: 15 meV/atom
- Crystal system: tetragonal